# 1
Density functional theory data (PBE-GGA) for an optimized crystal structure of UFeAs.

**DOS(E_F)**: 1.630 states/eV/atom
**DFT total energy**: -48.51 eV per cell
**Crystal system**: tetragonal

Unit cell a=4.133 b=4.133 c=7.118 alpha=90.00 beta=90.00 gamma=90.00
Space group I4mm (No. 107)
Asymmetric unit:
1 U 0.000 0.000 0.000 x2
2 Fe 0.000 0.000 0.286 x2
3 As 0.000 0.000 0.614 x2


# 2
Density functional theory data (PBE-GGA) for an optimized crystal structure of Sr2PaPtSe5.

**DOS(E_F)**: 0.369 states/eV/atom
**Formation energy without anion corrections**: -1.428 eV per atom
**Crystal system**: orthorhombic

Unit cell a=4.072 b=18.209 c=13.025 alpha=90.00 beta=90.00 gamma=90.00
Space group Cmc2_1 (No. 36)
Asymmetric unit:
1 Sr 0.000 0.106 0.000 x4
2 Sr 0.000 0.122 0.348 x4
3 Pa 0.000 0.188 0.672 x4
4 Pt 0.000 0.429 0.082 x4
5 Se 0.000 0.034 0.683 x4
6 Se 0.000 0.295 0.018 x4
7 Se 0.000 0.305 0.325 x4
8 Se 0.000 0.342 0.671 x4
9 Se 0.000 0.497 0.911 x4


# 3
Density functional theory data (PBE-GGA) for an optimized crystal structure of YNb2Bi.

**DOS(E_F)**: 1.066 states/eV/atom
**DFT total energy**: -110.95 eV per cell
**Crystal system**: tetragonal

Unit cell a=8.265 b=8.265 c=5.873 alpha=90.00 beta=90.00 gamma=90.00
Space group I-42d (No. 122)
Asymmetric unit:
1 Y 0.000 0.000 0.000 x4
2 Nb 0.217 0.250 0.625 x8
3 Bi 0.000 0.000 0.500 x4


# 4
Density functional theory data (PBE-GGA) for an optimized crystal structure of Nd3Dy6Ho.

**DOS(E_F)**: 1.337 states/eV/atom
**Excess energy over the best structure of this formula in the dataset**: 0 meV/atom
**Crystal system**: orthorhombic

Unit cell a=10.951 b=18.927 c=6.364 alpha=90.00 beta=90.00 gamma=90.00
Space group Cmc2_1 (No. 36)
Asymmetric unit:
1 Nd 0.000 0.112 0.000 x4
2 Nd 0.176 0.386 0.608 x8
3 Dy 0.000 0.228 0.421 x4
4 Dy 0.000 0.461 0.201 x4
5 Dy 0.168 0.045 0.522 x8
6 Dy 0.239 0.210 0.701 x8
7 Ho 0.000 0.305 0.942 x4


The highest DOS(E_F) belongs to which entry?
UFeAs


The lowest DOS(E_F) belongs to which entry?
Sr2PaPtSe5


Which value of DOS(E_F) does entry 2 give?
0.369 states/eV/atom


What is the formula in the third record?
YNb2Bi